(1)
A plane-wave DFT calculation with GGA-PBE was carried out for Sm8ZnCu2 after structural relaxation.

Calculated values
Formation energy from the elements in meV/atom: -98
Space group: No. 12
Final energy in eV per atom: -4.391

Unit cell a=5.1805 b=6.9294 c=9.3438 alpha=106.90 beta=106.09 gamma=90.00
With the nearest neighbours (Å) after each atom.
Fractional positions:
Sm1 0.4076 0.5343 0.8152  1 Zn 3.15, 2 Cu 3.27, 6 Sm 3.48-3.50
Sm2 0.6726 0.9895 0.3453  1 Cu 2.78
Sm3 0.8034 0.6687 0.6067  1 Cu 2.83
Sm4 0.9688 0.2200 0.9377  1 Cu 2.82, 2 Zn 3.14
Sm5 0.1966 0.3313 0.3933  1 Cu 2.83
Sm6 0.3274 0.0105 0.6547  1 Cu 2.78
Sm7 0.5924 0.4657 0.1848  1 Zn 3.15, 2 Cu 3.27, 6 Sm 3.48-3.50
Sm8 0.0312 0.7800 0.0623  1 Cu 2.82, 2 Zn 3.14
Zn1 0.5000 0.0000 0.0000  8 Sm 3.12-3.15
Cu1 0.8197 0.2758 0.6394  3 Sm 2.78-2.83
Cu2 0.1803 0.7242 0.3606  3 Sm 2.78-2.83

---

(2)
A plane-wave DFT calculation with GGA-PBE was carried out for Er8Ga2Bi after structural relaxation.

Calculated values
Formation energy from the elements in meV/atom: -300
Space group: No. 12
Final energy in eV per atom: -4.521

Unit cell a=4.8505 b=7.0132 c=9.6424 alpha=102.44 beta=104.57 gamma=90.00
With the nearest neighbours (Å) after each atom.
Fractional positions:
Er1 0.4044 0.5289 0.8089  2 Ga 3.31, 1 Bi 3.39, 9 Er 3.47-3.68
Er2 0.6670 0.9724 0.3340  3 Ga 2.98-3.01, 1 Bi 3.17
Er3 0.7894 0.6771 0.5788  3 Ga 3.03-3.15
Er4 0.9686 0.2503 0.9371  1 Ga 2.96, 2 Bi 3.12-3.13
Er5 0.2106 0.3229 0.4212  3 Ga 3.03-3.15
Er6 0.3330 0.0276 0.6660  3 Ga 2.98-3.01, 1 Bi 3.17
Er7 0.5956 0.4711 0.1911  2 Ga 3.31, 1 Bi 3.39, 9 Er 3.47-3.68
Er8 0.0314 0.7497 0.0629  1 Ga 2.96, 2 Bi 3.13
Ga1 0.8111 0.2612 0.6221  7 Er 2.96-3.15
Ga2 0.1889 0.7388 0.3779  7 Er 2.96-3.15
Bi1 0.5000 0.0000 0.0000  8 Er 3.12-3.39